# 1
This record from the Alexandria database describes a relaxed CeLuMn4 crystal. The functional is GGA-PBE.

Calculated values
ΔH_f (0 K) = 0.46 eV per formula unit
symmetry = F-43m, No. 216
mass density = 9.4 Mg/m³
uncorrected energy = -0.2858 hartree per atom

```
CeLuMn4
1.0
-1.547 -3.664 -3.215
2.389 -0.652 -4.475
2.917 -4.130 -0.764
Mn Lu Ce
4 1 1
direct
0.125 0.625 0.625
0.625 0.625 0.125
0.625 0.625 0.625
0.625 0.125 0.625
0.000 0.000 0.000
0.250 0.250 0.250
```

---

# 2
This record from the Alexandria database describes a relaxed Ce2LuMn crystal. The functional is GGA-PBE.

Calculated values
ΔH_f (0 K) = 0.88 eV per formula unit
symmetry = P4/mmm, No. 123
mass density = 8.8 Mg/m³
uncorrected energy = -0.2267 hartree per atom

```
Ce2LuMn
1.0
-1.763 0.526 -2.775
2.584 -1.020 -1.835
-2.958 -8.111 0.343
Lu Mn Ce
1 1 2
direct
0.500 0.500 0.000
0.500 0.500 0.500
0.000 0.000 0.306
0.000 0.000 0.694
```

---

# 3
This record from the Alexandria database describes a relaxed CeLuMn2 crystal. The functional is GGA-PBE.

Calculated values
ΔH_f (0 K) = 0.66 eV per formula unit
symmetry = P4/mmm, No. 123
mass density = 8.9 Mg/m³
uncorrected energy = -0.2585 hartree per atom

```
CeLuMn2
1.0
-1.261 -2.913 -1.264
2.478 -1.753 1.568
-3.939 -0.671 5.475
Mn Lu Ce
2 1 1
direct
0.000 0.000 0.719
0.000 0.000 0.281
0.500 0.500 0.000
0.500 0.500 0.500
```

---

Number 1: spin magnetization 6.5 μB/f.u.. Number 2: spin magnetization 1.6 μB/f.u.. Number 3: spin magnetization 4.2 μB/f.u..